Entry 1:
Crystalline MnSbRh2 at its relaxed geometry, computed with GGA-PBEsol.

symmetry = Pmmm
volume = 15.17 Å³ per atom
energy relative to the elements, uncorrected = -135.6 meV/atom

Cell and atoms, written as CIF:
```
data_MnSbRh2
_cell_length_a 3.030
_cell_length_b 3.455
_cell_length_c 5.796
_cell_angle_alpha 90.00
_cell_angle_beta 90.00
_cell_angle_gamma 90.00
_space_group_name_H-M_alt 'P 1'
_space_group_IT_number 1
_space_group_name_Hall 'P 1'
loop_
_atom_site_label
_atom_site_type_symbol
_atom_site_fract_x
_atom_site_fract_y
_atom_site_fract_z
_atom_site_occupancy
Mn1 Mn 0.500 0.500 0.500 1
Rh1 Rh 0.000 0.000 0.743 1
Rh2 Rh 0.000 0.000 0.257 1
Sb1 Sb 0.500 0.500 0.000 1
```

---

Entry 2:
Crystalline MgIBr2 at its relaxed geometry, computed with GGA-PBEsol.

symmetry = Fm-3m
volume = 26.44 Å³ per atom
energy relative to the elements, uncorrected = -240.7 meV/atom

Cell and atoms, written as CIF:
```
data_MgIBr2
_cell_length_a 5.308
_cell_length_b 5.308
_cell_length_c 5.308
_cell_angle_alpha 60.00
_cell_angle_beta 60.00
_cell_angle_gamma 60.00
_space_group_name_H-M_alt 'P 1'
_space_group_IT_number 1
_space_group_name_Hall 'P 1'
loop_
_atom_site_label
_atom_site_type_symbol
_atom_site_fract_x
_atom_site_fract_y
_atom_site_fract_z
_atom_site_occupancy
I1 I 0.500 0.500 0.500 1
Mg1 Mg 0.000 0.000 0.000 1
Br1 Br 0.250 0.250 0.250 1
Br2 Br 0.750 0.750 0.750 1
```

---

Entry 3:
Crystalline KZn2Ni at its relaxed geometry, computed with GGA-PBEsol.

symmetry = I-4m2
volume = 17.92 Å³ per atom
energy relative to the lowest polymorph listed for this composition = 0.3361 eV per atom
formation energy = 0.630 eV/atom

Cell and atoms, written as CIF:
```
data_KZn2Ni
_cell_length_a 4.657
_cell_length_b 4.666
_cell_length_c 4.657
_cell_angle_alpha 60.06
_cell_angle_beta 90.00
_cell_angle_gamma 119.94
_space_group_name_H-M_alt 'P 1'
_space_group_IT_number 1
_space_group_name_Hall 'P 1'
loop_
_atom_site_label
_atom_site_type_symbol
_atom_site_fract_x
_atom_site_fract_y
_atom_site_fract_z
_atom_site_occupancy
K1 K 0.500 0.000 0.500 1
Ni1 Ni 0.750 0.500 0.750 1
Zn1 Zn 0.000 0.000 0.000 1
Zn2 Zn 0.250 0.500 0.250 1
```

---

Entry 4:
Crystalline ScAlPO2 at its relaxed geometry, computed with GGA-PBEsol.

symmetry = P4/mmm
volume = 13.16 Å³ per atom
energy relative to the lowest polymorph listed for this composition = 0.0000 eV per atom
energy relative to the elements, uncorrected = -1594.9 meV/atom

Cell and atoms, written as CIF:
```
data_ScAlPO2
_cell_length_a 3.639
_cell_length_b 3.639
_cell_length_c 4.967
_cell_angle_alpha 90.00
_cell_angle_beta 90.00
_cell_angle_gamma 90.00
_space_group_name_H-M_alt 'P 1'
_space_group_IT_number 1
_space_group_name_Hall 'P 1'
loop_
_atom_site_label
_atom_site_type_symbol
_atom_site_fract_x
_atom_site_fract_y
_atom_site_fract_z
_atom_site_occupancy
Sc1 Sc 0.500 0.500 0.500 1
P1 P 0.000 0.000 0.500 1
Al1 Al 0.000 0.000 0.000 1
O1 O 0.000 0.500 0.000 1
O2 O 0.500 0.000 0.000 1
```